# 1
Ge3Rh2Se3: optimized geometry, GGA-PBEsol.

a b c (Å): 8.525 8.525 8.525
angles (deg): 89.83 89.83 89.83
Element x y z (fractional)
Ge1 0.665 0.002 0.848
Ge2 0.848 0.665 0.002
Ge3 0.002 0.848 0.665
Ge4 0.335 0.998 0.152
Ge5 0.152 0.335 0.998
Ge6 0.998 0.152 0.335
Ge7 0.165 0.502 0.653
Ge8 0.653 0.165 0.502
Ge9 0.502 0.653 0.165
Ge10 0.835 0.498 0.347
Ge11 0.347 0.835 0.498
Ge12 0.498 0.347 0.835
Rh1 0.752 0.752 0.752
Rh2 0.248 0.248 0.248
Rh3 0.252 0.749 0.248
Rh4 0.248 0.252 0.749
Rh5 0.749 0.248 0.252
Rh6 0.748 0.251 0.752
Rh7 0.752 0.748 0.251
Rh8 0.251 0.752 0.748
Se1 0.856 0.353 0.000
Se2 0.000 0.856 0.353
Se3 0.353 0.000 0.856
Se4 0.853 0.503 0.643
Se5 0.643 0.853 0.503
Se6 0.503 0.643 0.853
Se7 0.147 0.497 0.357
Se8 0.357 0.147 0.497
Se9 0.497 0.357 0.147
Se10 0.000 0.144 0.647
Se11 0.647 0.000 0.144
Se12 0.144 0.647 0.000

Results
* mass density: 7.1 g cm⁻³
* volume: 619.5 Å³/cell
* E_tot: -5.873 eV per atom


# 2
Hg5Pb: optimized geometry, GGA-PBEsol.

a b c (Å): 3.520 6.545 6.774
angles (deg): 103.22 90.00 105.60
Element x y z (fractional)
Hg1 0.021 0.041 0.061
Hg2 0.695 0.389 0.389
Hg3 0.369 0.737 0.718
Hg4 0.362 0.723 0.232
Hg5 0.027 0.054 0.545
Pb1 0.694 0.389 0.888

Results
* energy of formation from the pure elements: 0.057 eV per formula unit
* mass density: 13.8 g cm⁻³
* offset from the most stable computed form: 0.08 kcal/mol of atoms
* volume: 146.0 Å³/cell


# 3
LaYZn: optimized geometry, GGA-PBEsol.

a b c (Å): 3.620 3.620 6.643
angles (deg): 105.81 105.81 90.00
Element x y z (fractional)
Y1 0.695 0.695 0.391
Zn1 0.323 0.323 0.646
La1 0.981 0.981 0.963

Results
* energy of formation from the pure elements: -0.564 eV per formula unit
* mass density: 6.1 g cm⁻³
* offset from the most stable computed form: 0.00 kcal/mol of atoms
* volume: 80.3 Å³/cell